Sm2Co3Sn5 | PBE | relaxed

Properties
* magnetic moment: 0.0 Bohr magnetons per cell
* energy above the most stable polymorph in this dataset: 0 meV/atom

Structure (CIF):
```
data_Sm2Co3Sn5
_chemical_formula_sum 'Sm8 Co12 Sn20'
_symmetry_space_group_name_H-M 'C m c 21'
_symmetry_Int_Tables_number 36
_symmetry_space_group_name_Hall 'C 2c -2'
_cell_length_a 4.353
_cell_length_b 26.236
_cell_length_c 7.148
_cell_angle_alpha 90.00
_cell_angle_beta 90.00
_cell_angle_gamma 90.00
loop_
_atom_site_label
_atom_site_fract_x
_atom_site_fract_y
_atom_site_fract_z
Sm1 0.000 0.026 0.000
Sm2 0.000 0.329 0.982
Co1 0.000 0.107 0.256
Co2 0.000 0.278 0.475
Co3 0.000 0.450 0.219
Sn1 0.000 0.093 0.624
Sn2 0.000 0.204 0.186
Sn3 0.000 0.212 0.764
Sn4 0.000 0.378 0.496
Sn5 0.000 0.452 0.834
```